No. 1
BaRuPt2 | Alexandria via LeMat-Bulk | PBE-GGA | relaxed; symmetry = No. 123; energy above the most stable polymorph in this dataset = 0.364 eV per atom; theoretical density = 12.454 g cm⁻³
1.0
3.352 0.010 0.000
-0.009 3.352 0.000
0.000 0.000 7.460
Pt Ba Ru
2 1 1
Direct
0.000 0.000 0.071
0.000 0.000 0.429
0.500 0.500 0.750
0.500 0.500 0.250

***

No. 2
BaRuPt2 | Alexandria via LeMat-Bulk | PBE-GGA | relaxed; symmetry = No. 139; energy above the most stable polymorph in this dataset = 0.722 eV per atom; theoretical density = 12.747 g cm⁻³
1.0
5.215 0.113 0.000
1.344 5.040 0.000
-3.280 -2.577 3.133
Ba Ru Pt
1 1 2
Direct
0.750 0.250 0.500
0.250 0.750 0.500
0.500 0.500 0.000
0.000 0.000 0.000

***

No. 3
Ba2RuPt | Alexandria via LeMat-Bulk | PBE-GGA | relaxed; symmetry = No. 38; theoretical density = 7.374 g cm⁻³
1.0
-2.541 3.205 2.314
-3.966 -3.046 -0.137
-0.446 -3.739 4.688
Pt Ba Ru
1 2 1
Direct
0.000 0.664 0.547
0.000 0.974 0.926
0.500 0.269 0.337
0.500 0.592 0.690

***

No. 4
Ba2RuPt | Alexandria via LeMat-Bulk | PBE-GGA | relaxed; symmetry = No. 119; theoretical density = 8.517 g cm⁻³
1.0
-1.466 -3.184 5.253
4.443 -0.900 4.397
-2.339 4.776 -3.405
Ba Pt Ru
2 1 1
Direct
0.000 0.000 0.000
0.250 0.750 0.500
0.500 0.500 0.000
0.750 0.250 0.500

***

No. 5
BaRuPt2 | Alexandria via LeMat-Bulk | PBE-GGA | relaxed; symmetry = No. 166; energy above the most stable polymorph in this dataset = 0.000 eV per atom; theoretical density = 10.482 g cm⁻³
1.0
-2.339 -2.528 2.934
-2.809 -3.207 -1.515
2.476 -5.647 0.599
Pt Ru Ba
2 1 1
Direct
0.939 0.939 0.184
0.561 0.561 0.316
0.250 0.250 0.250
0.750 0.750 0.750

***

No. 6
BaRu2Pt2 | Alexandria via LeMat-Bulk | PBE-GGA | relaxed; symmetry = No. 139; theoretical density = 11.710 g cm⁻³
1.0
4.461 0.000 0.000
0.000 4.461 0.000
2.231 2.231 5.198
Ru Pt Ba
2 2 1
Direct
0.609 0.609 0.783
0.391 0.391 0.217
0.250 0.750 0.500
0.750 0.250 0.500
0.000 0.000 0.000

***

No. 7
BaRuPt2 | Alexandria via LeMat-Bulk | PBE-GGA | relaxed; symmetry = No. 119; energy above the most stable polymorph in this dataset = 0.725 eV per atom; theoretical density = 12.881 g cm⁻³
1.0
-1.940 4.354 -2.006
-4.180 -1.475 -2.665
1.288 -1.048 4.898
Pt Ru Ba
2 1 1
Direct
0.000 0.000 0.000
0.250 0.750 0.500
0.500 0.500 0.000
0.750 0.250 0.500

***

No. 8
BaRuPt2 | Alexandria via LeMat-Bulk | PBE-GGA | relaxed; symmetry = No. 122; energy above the most stable polymorph in this dataset = 0.274 eV per atom; theoretical density = 9.058 g cm⁻³
1.0
5.274 0.000 0.000
0.000 5.274 0.000
2.637 2.637 8.284
Ru Pt Ba
2 4 2
Direct
0.500 0.500 0.000
0.250 0.750 0.500
0.375 0.611 0.750
0.389 0.125 0.250
0.875 0.639 0.750
0.361 0.625 0.250
0.750 0.250 0.500
0.000 0.000 0.000

***

No. 9
BaRuPt2 | Alexandria via LeMat-Bulk | PBE-GGA | relaxed; symmetry = No. 160; energy above the most stable polymorph in this dataset = 0.035 eV per atom; theoretical density = 10.414 g cm⁻³
1.0
4.535 -0.008 -0.008
2.274 3.924 -0.008
2.276 1.309 5.621
Ru Pt Ba
1 2 1
Direct
0.569 0.569 0.292
0.240 0.240 0.279
0.939 0.939 0.184
0.752 0.752 0.744

***

No. 10
BaRuPt2 | Alexandria via LeMat-Bulk | PBE-GGA | relaxed; symmetry = No. 166; energy above the most stable polymorph in this dataset = 0.795 eV per atom; theoretical density = 13.515 g cm⁻³
1.0
-5.988 7.944 -1.897
-6.951 6.136 -4.074
-8.111 5.918 -1.327
Ru Pt Ba
1 2 1
Direct
0.250 0.250 0.250
0.513 0.513 0.513
0.987 0.987 0.987
0.750 0.750 0.750

***

No. 11
Ba2RuPt | Alexandria via LeMat-Bulk | PBE-GGA | relaxed; symmetry = No. 123; theoretical density = 8.410 g cm⁻³
1.0
-2.367 2.842 1.303
-2.961 -1.519 -2.067
-4.822 -5.698 3.669
Ba Pt Ru
2 1 1
Direct
0.000 0.504 0.496
0.000 0.996 0.004
0.500 0.250 0.250
0.500 0.750 0.750

***

No. 12
BaRuPt3 | Alexandria via LeMat-Bulk | PBE-GGA | relaxed; symmetry = No. 221; energy above the most stable polymorph in this dataset = 0.000 eV per atom; theoretical density = 11.324 g cm⁻³
1.0
4.943 0.000 0.000
0.000 4.943 0.000
0.000 0.000 4.943
Pt Ru Ba
3 1 1
Direct
0.000 0.000 0.500
0.000 0.500 0.000
0.500 0.000 0.000
0.000 0.000 0.000
0.500 0.500 0.500

***

No. 13
BaRu3Pt | Alexandria via LeMat-Bulk | PBE-GGA | relaxed; symmetry = No. 221; energy above the most stable polymorph in this dataset = 0.000 eV per atom; theoretical density = 8.807 g cm⁻³
1.0
-0.776 -0.343 4.857
3.089 -3.836 0.222
3.763 3.078 0.819
Ba Ru Pt
1 3 1
Direct
0.500 0.500 0.500
0.000 0.000 0.500
0.500 0.000 0.000
0.000 0.500 0.000
0.000 0.000 0.000

***

No. 14
BaRuPt2 | Alexandria via LeMat-Bulk | PBE-GGA | relaxed; symmetry = No. 44; energy above the most stable polymorph in this dataset = 0.597 eV per atom; theoretical density = 12.609 g cm⁻³
1.0
-3.795 2.030 -4.240
-5.405 -2.610 -0.692
3.978 3.138 3.291
Pt Ba Ru
2 1 1
Direct
0.744 0.244 0.500
0.971 0.971 0.000
0.251 0.751 0.500
0.533 0.533 0.000

***

No. 15
Ba2RuPt | Alexandria via LeMat-Bulk | PBE-GGA | relaxed; symmetry = No. 166; theoretical density = 7.389 g cm⁻³
1.0
-6.099 -6.273 -1.353
-5.764 -6.108 2.800
-8.157 -3.348 0.790
Ba Pt Ru
2 1 1
Direct
0.996 0.996 0.996
0.504 0.504 0.504
0.250 0.250 0.250
0.750 0.750 0.750

***

No. 16
BaRuPt2 | Alexandria via LeMat-Bulk | PBE-GGA | relaxed; symmetry = No. 6; energy above the most stable polymorph in this dataset = 0.423 eV per atom; theoretical density = 12.224 g cm⁻³
1.0
4.486 0.000 0.000
0.000 2.953 -0.257
0.000 0.181 6.430
Pt Ba Ru
2 1 1
Direct
0.500 0.139 0.302
0.000 0.118 0.043
0.500 0.581 0.771
0.000 0.662 0.385

***

No. 17
BaRuPt2 | Alexandria via LeMat-Bulk | PBE-GGA | relaxed; symmetry = No. 71; energy above the most stable polymorph in this dataset = 0.598 eV per atom; theoretical density = 10.972 g cm⁻³
1.0
5.507 -0.133 -0.016
1.354 5.340 0.016
-2.689 -3.580 3.209
Ba Pt Ru
1 2 1
Direct
0.250 0.750 0.500
0.942 0.942 0.000
0.558 0.558 0.000
0.750 0.250 0.500

***

No. 18
BaRuPt2 | Alexandria via LeMat-Bulk | PBE-GGA | relaxed; symmetry = No. 65; energy above the most stable polymorph in this dataset = 0.610 eV per atom; theoretical density = 13.181 g cm⁻³
1.0
5.257 -0.023 0.000
-1.661 4.988 0.000
0.000 0.000 3.024
Pt Ru Ba
2 1 1
Direct
0.500 0.500 0.000
0.000 0.000 0.000
0.500 0.000 0.500
0.000 0.500 0.500

***

No. 19
Ba2RuPt | Alexandria via LeMat-Bulk | PBE-GGA | relaxed; symmetry = No. 216; theoretical density = 9.020 g cm⁻³
1.0
5.297 0.000 0.000
2.648 4.587 0.000
2.648 1.529 4.325
Ru Ba Pt
1 2 1
Direct
0.250 0.250 0.250
0.000 0.000 0.000
0.750 0.750 0.750
0.500 0.500 0.500

***

No. 20
BaRuPt2 | Alexandria via LeMat-Bulk | PBE-GGA | relaxed; symmetry = No. 99; energy above the most stable polymorph in this dataset = 0.513 eV per atom; theoretical density = 12.205 g cm⁻³
1.0
3.377 0.000 0.000
0.000 3.377 0.000
0.000 0.000 7.499
Pt Ba Ru
2 1 1
Direct
0.000 0.000 0.059
0.500 0.500 0.269
0.500 0.500 0.757
0.000 0.000 0.416

***

What are the energy of formation from the pure elements values for these records? In order: 0.111; 0.469; -0.131; 0.368; -0.253; 0.121; 0.472; 0.021; -0.218; 0.541; 0.238; 0.256; 1.212; 0.343; 0.403; 0.170; 0.345; 0.357; 0.421; 0.260 eV/atom.
What are the calculated total energy values for these records? In order: -0.41964; -0.39333; -0.36173; -0.32506; -0.44639; -0.46966; -0.39307; -0.42622; -0.44382; -0.38797; -0.33463; -0.41220; -0.43701; -0.40252; -0.32249; -0.41527; -0.40244; -0.40155; -0.32118; -0.40866 Ry/atom.